(a)
Compound: Mg2HgIr2
Source: Alexandria via LeMat-Bulk
Functional: PBE-GGA
Structure: relaxed

Calculated values
For the calculated volume, the calculation gives 175.4 Å³/cell.

a = 7.1970 Å, b = 7.1970 Å, c = 3.3856 Å
α = 90.00°, β = 90.00°, γ = 90.00°
Fractional coordinates of all 10 atoms:
Mg (0.1614, 0.3386, 0.0000)
Mg (0.3386, 0.8386, 0.0000)
Mg (0.6614, 0.1614, 0.0000)
Mg (0.8386, 0.6614, 0.0000)
Hg (0.0000, 0.0000, 0.5000)
Hg (0.5000, 0.5000, 0.5000)
Ir (0.1338, 0.6338, 0.5000)
Ir (0.3662, 0.1338, 0.5000)
Ir (0.6338, 0.8662, 0.5000)
Ir (0.8662, 0.3662, 0.5000)



(b)
Compound: Mg2HgIr2
Source: Alexandria via LeMat-Bulk
Functional: PBE-GGA
Structure: relaxed

Calculated values
For the calculated volume, the calculation gives 171.7 Å³/cell.

a = 7.7190 Å, b = 7.7190 Å, c = 2.8819 Å
α = 90.00°, β = 90.00°, γ = 90.00°
Fractional coordinates of all 10 atoms:
Mg (0.1291, 0.3709, 0.0000)
Mg (0.3709, 0.8709, 0.0000)
Mg (0.6291, 0.1291, 0.0000)
Mg (0.8709, 0.6291, 0.0000)
Hg (0.0000, 0.0000, 0.0000)
Hg (0.5000, 0.5000, 0.0000)
Ir (0.1679, 0.6679, 0.5000)
Ir (0.3321, 0.1679, 0.5000)
Ir (0.6679, 0.8321, 0.5000)
Ir (0.8321, 0.3321, 0.5000)



(a) wins, 153 meV/atom ahead of the next structure.



(a)
Compound: MgScHgIr
Source: Alexandria via LeMat-Bulk
Functional: PBE-GGA
Structure: relaxed

Calculated values
For the calculated volume, the calculation gives 292.3 Å³/cell.

a = 6.6363 Å, b = 6.6363 Å, c = 6.6363 Å
α = 90.00°, β = 90.00°, γ = 90.00°
Fractional coordinates of all 16 atoms:
Mg (0.0000, 0.0000, 0.0000)
Mg (0.0000, 0.5000, 0.5000)
Mg (0.5000, 0.0000, 0.5000)
Mg (0.5000, 0.5000, 0.0000)
Sc (0.0000, 0.0000, 0.5000)
Sc (0.0000, 0.5000, 0.0000)
Sc (0.5000, 0.0000, 0.0000)
Sc (0.5000, 0.5000, 0.5000)
Hg (0.2500, 0.2500, 0.7500)
Hg (0.2500, 0.7500, 0.2500)
Hg (0.7500, 0.2500, 0.2500)
Hg (0.7500, 0.7500, 0.7500)
Ir (0.2500, 0.2500, 0.2500)
Ir (0.2500, 0.7500, 0.7500)
Ir (0.7500, 0.2500, 0.7500)
Ir (0.7500, 0.7500, 0.2500)



(b)
Compound: MgScHgIr
Source: Alexandria via LeMat-Bulk
Functional: PBE-GGA
Structure: relaxed

Calculated values
For the calculated volume, the calculation gives 75.0 Å³/cell.

a = 3.1884 Å, b = 3.1884 Å, c = 7.3740 Å
α = 90.00°, β = 90.00°, γ = 90.00°
Fractional coordinates of all 4 atoms:
Mg (0.0000, 0.0000, 0.0000)
Sc (0.0000, 0.0000, 0.5706)
Hg (0.5000, 0.5000, 0.2726)
Ir (0.5000, 0.5000, 0.7806)



(b) wins, 108 meV/atom ahead of the next structure.



(a)
Compound: MgZrHgIr
Source: Alexandria via LeMat-Bulk
Functional: PBE-GGA
Structure: relaxed

Calculated values
For the calculated volume, the calculation gives 300.1 Å³/cell.

a = 6.6948 Å, b = 6.6948 Å, c = 6.6948 Å
α = 90.00°, β = 90.00°, γ = 90.00°
Fractional coordinates of all 16 atoms:
Mg (0.0000, 0.0000, 0.0000)
Mg (0.0000, 0.5000, 0.5000)
Mg (0.5000, 0.0000, 0.5000)
Mg (0.5000, 0.5000, 0.0000)
Zr (0.0000, 0.0000, 0.5000)
Zr (0.0000, 0.5000, 0.0000)
Zr (0.5000, 0.0000, 0.0000)
Zr (0.5000, 0.5000, 0.5000)
Hg (0.2500, 0.2500, 0.7500)
Hg (0.2500, 0.7500, 0.2500)
Hg (0.7500, 0.2500, 0.2500)
Hg (0.7500, 0.7500, 0.7500)
Ir (0.2500, 0.2500, 0.2500)
Ir (0.2500, 0.7500, 0.7500)
Ir (0.7500, 0.2500, 0.7500)
Ir (0.7500, 0.7500, 0.2500)



(b)
Compound: MgZrHgIr
Source: Alexandria via LeMat-Bulk
Functional: PBE-GGA
Structure: relaxed

Calculated values
For the calculated volume, the calculation gives 76.2 Å³/cell.

a = 3.2146 Å, b = 3.2146 Å, c = 7.3778 Å
α = 90.00°, β = 90.00°, γ = 90.00°
Fractional coordinates of all 4 atoms:
Mg (0.0000, 0.0000, 0.0000)
Zr (0.0000, 0.0000, 0.4393)
Hg (0.5000, 0.5000, 0.7401)
Ir (0.5000, 0.5000, 0.2240)



(b) wins, 89 meV/atom ahead of the next structure.



(a)
Compound: MnHgIr
Source: Alexandria via LeMat-Bulk
Functional: PBE-GGA
Structure: relaxed

Calculated values
For the calculated volume, the calculation gives 241.3 Å³/cell.

a = 6.2260 Å, b = 6.2260 Å, c = 6.2260 Å
α = 90.00°, β = 90.00°, γ = 90.00°
Fractional coordinates of all 12 atoms:
Mn (0.0000, 0.0000, 0.0000)
Mn (0.0000, 0.5000, 0.5000)
Mn (0.5000, 0.0000, 0.5000)
Mn (0.5000, 0.5000, 0.0000)
Hg (0.0000, 0.0000, 0.5000)
Hg (0.0000, 0.5000, 0.0000)
Hg (0.5000, 0.0000, 0.0000)
Hg (0.5000, 0.5000, 0.5000)
Ir (0.2500, 0.2500, 0.2500)
Ir (0.2500, 0.7500, 0.7500)
Ir (0.7500, 0.2500, 0.7500)
Ir (0.7500, 0.7500, 0.2500)



(b)
Compound: MnHgIr
Source: Alexandria via LeMat-Bulk
Functional: PBE-GGA
Structure: relaxed

Calculated values
For the calculated volume, the calculation gives 49.7 Å³/cell.

a = 2.9191 Å, b = 2.9191 Å, c = 6.7338 Å
α = 90.00°, β = 90.00°, γ = 120.00°
Fractional coordinates of all 3 atoms:
Mn (0.0000, 0.0000, 0.0000)
Hg (0.3333, 0.6667, 0.3452)
Ir (0.6667, 0.3333, 0.7109)



(c)
Compound: MnHgIr
Source: Alexandria via LeMat-Bulk
Functional: PBE-GGA
Structure: relaxed

Calculated values
For the calculated volume, the calculation gives 99.2 Å³/cell.

a = 2.9732 Å, b = 2.9732 Å, c = 11.2230 Å
α = 90.00°, β = 90.00°, γ = 90.00°
Fractional coordinates of all 6 atoms:
Mn (0.0000, 0.0000, 0.0000)
Mn (0.5000, 0.5000, 0.5000)
Hg (0.0000, 0.0000, 0.3184)
Hg (0.5000, 0.5000, 0.8184)
Ir (0.0000, 0.0000, 0.6327)
Ir (0.5000, 0.5000, 0.1327)



(c) wins, 97 meV/atom ahead of the next structure.



(a)
Compound: Mn2HgIr2
Source: Alexandria via LeMat-Bulk
Functional: PBE-GGA
Structure: relaxed

Calculated values
For the calculated volume, the calculation gives 154.8 Å³/cell.

a = 3.9079 Å, b = 3.9079 Å, c = 10.1338 Å
α = 90.00°, β = 90.00°, γ = 90.00°
Fractional coordinates of all 10 atoms:
Mn (0.0000, 0.0000, 0.0995)
Mn (0.0000, 0.0000, 0.9005)
Mn (0.5000, 0.5000, 0.4005)
Mn (0.5000, 0.5000, 0.5995)
Hg (0.0000, 0.0000, 0.5000)
Hg (0.5000, 0.5000, 0.0000)
Ir (0.0000, 0.5000, 0.2500)
Ir (0.0000, 0.5000, 0.7500)
Ir (0.5000, 0.0000, 0.2500)
Ir (0.5000, 0.0000, 0.7500)



(b)
Compound: Mn2HgIr2
Source: Alexandria via LeMat-Bulk
Functional: PBE-GGA
Structure: relaxed

Calculated values
For the calculated volume, the calculation gives 157.7 Å³/cell.

a = 7.4302 Å, b = 7.4302 Å, c = 2.8571 Å
α = 90.00°, β = 90.00°, γ = 90.00°
Fractional coordinates of all 10 atoms:
Mn (0.1606, 0.3394, 0.0000)
Mn (0.3394, 0.8394, 0.0000)
Mn (0.6606, 0.1606, 0.0000)
Mn (0.8394, 0.6606, 0.0000)
Hg (0.0000, 0.0000, 0.5000)
Hg (0.5000, 0.5000, 0.5000)
Ir (0.1336, 0.6336, 0.5000)
Ir (0.3664, 0.1336, 0.5000)
Ir (0.6336, 0.8664, 0.5000)
Ir (0.8664, 0.3664, 0.5000)



(b) wins, 199 meV/atom ahead of the next structure.



(a)
Compound: HgMo2Ir2
Source: Alexandria via LeMat-Bulk
Functional: PBE-GGA
Structure: relaxed

Calculated values
For the calculated volume, the calculation gives 167.8 Å³/cell.

a = 7.7562 Å, b = 7.7562 Å, c = 2.7889 Å
α = 90.00°, β = 90.00°, γ = 90.00°
Fractional coordinates of all 10 atoms:
Hg (0.0000, 0.0000, 0.0000)
Hg (0.5000, 0.5000, 0.0000)
Mo (0.1663, 0.3337, 0.5000)
Mo (0.3337, 0.8337, 0.5000)
Mo (0.6663, 0.1663, 0.5000)
Mo (0.8337, 0.6663, 0.5000)
Ir (0.1250, 0.6250, 0.0000)
Ir (0.3750, 0.1250, 0.0000)
Ir (0.6250, 0.8750, 0.0000)
Ir (0.8750, 0.3750, 0.0000)



(b)
Compound: HgMo2Ir2
Source: Alexandria via LeMat-Bulk
Functional: PBE-GGA
Structure: relaxed

Calculated values
For the calculated volume, the calculation gives 170.8 Å³/cell.

a = 7.8370 Å, b = 7.8370 Å, c = 2.7803 Å
α = 90.00°, β = 90.00°, γ = 90.00°
Fractional coordinates of all 10 atoms:
Hg (0.0000, 0.0000, 0.0000)
Hg (0.5000, 0.5000, 0.0000)
Mo (0.1213, 0.3787, 0.0000)
Mo (0.3787, 0.8787, 0.0000)
Mo (0.6213, 0.1213, 0.0000)
Mo (0.8787, 0.6213, 0.0000)
Ir (0.1646, 0.6646, 0.5000)
Ir (0.3354, 0.1646, 0.5000)
Ir (0.6646, 0.8354, 0.5000)
Ir (0.8354, 0.3354, 0.5000)



(a) wins, 99 meV/atom ahead of the next structure.